Below is crystalline DyZrCu at its relaxed geometry, with properties calculated at the PBE level.

* calculated total energy: -5.823 eV per atom
* magnetic moment: 0.000 μB/cell
* calculated density: 8.06 g cm⁻³

abc: 3.344 3.344 11.689
angles: 90.00 90.00 90.00
Space group I4mm (No. 107)
Unique sites:
Dy 0.000 0.000 0.000 x2
Zr 0.000 0.000 0.300 x2
Cu 0.000 0.000 0.671 x2